[1]
# Dy2NpO8

An optimized crystal structure of Dy2NpO8 (PBE, the Alexandria database).

Structure (POSCAR):
```
Dy2NpO8
1.0
3.6763 0.0000 0.0000
-0.2579 5.0624 0.0000
-1.7112 -2.2846 7.1726
Dy Np O
2 1 8
direct
0.1685 0.1424 0.3485
0.8315 0.8576 0.6515
0.5000 0.5000 0.0000
0.0021 0.2566 0.9178
0.2693 0.6205 0.4551
0.3627 0.1508 0.6608
0.3978 0.7167 0.8326
0.6022 0.2833 0.1674
0.6373 0.8492 0.3392
0.7307 0.3795 0.5449
0.9979 0.7434 0.0822
```

Results
For the uncorrected formation energy, the calculation gives -2.340 eV per atom.

[2]
# ScTePtI2

An optimized crystal structure of ScTePtI2 (PBE, the Alexandria database).

Structure (POSCAR):
```
ScTePtI2
1.0
5.9710 0.0000 0.0000
0.0000 5.9710 0.0000
0.0000 0.0000 5.4240
Sc Te Pt I
1 1 1 2
direct
0.0000 0.0000 0.0000
0.0000 0.0000 0.5000
0.5000 0.5000 0.0000
0.0000 0.5000 0.5000
0.5000 0.0000 0.5000
```

Results
For the uncorrected formation energy, the calculation gives 0.852 eV per atom. The calculation puts the density of states at the Fermi level at 7.2 states/eV/f.u. Its energy above the lowest structure with this stoichiometry is 3.843 eV/f.u.

[3]
# ZrBAs2Br

An optimized crystal structure of ZrBAs2Br (PBE, the Alexandria database).

Structure (POSCAR):
```
ZrBAs2Br
1.0
4.4400 0.0000 0.0000
0.0000 4.4400 0.0000
0.0000 0.0000 4.6751
Zr B As Br
1 1 2 1
direct
0.0000 0.0000 0.0000
0.5000 0.5000 0.5000
0.0000 0.5000 0.5000
0.5000 0.0000 0.5000
0.5000 0.5000 0.0000
```

Results
For the uncorrected formation energy, the calculation gives 0.490 eV per atom. The calculation puts the density of states at the Fermi level at 3.2 states/eV/f.u. Its energy above the lowest structure with this stoichiometry is 0.000 eV/f.u.

[4]
# Ba2CuH6Pt

An optimized crystal structure of Ba2CuH6Pt (PBE, the Alexandria database).

Structure (POSCAR):
```
Ba2CuH6Pt
1.0
-2.7957 2.7957 4.3444
2.7957 -2.7957 4.3444
2.7957 2.7957 -4.3444
Ba Cu H Pt
2 1 6 1
direct
0.2500 0.7500 0.5000
0.7500 0.2500 0.5000
0.0000 0.0000 0.0000
0.1856 0.1856 0.0000
0.2816 0.2816 0.5631
0.2816 0.7184 0.0000
0.7184 0.2816 0.0000
0.7184 0.7184 0.4369
0.8144 0.8144 0.0000
0.5000 0.5000 0.0000
```

Results
The calculation puts the density of states at the Fermi level at 3.1 states/eV/f.u.

[5]
# VHg2WC

An optimized crystal structure of VHg2WC (PBE, the Alexandria database).

Structure (POSCAR):
```
VHg2WC
1.0
5.3249 0.0000 0.0000
0.0000 5.3249 0.0000
0.0000 0.0000 3.9200
V Hg W C
1 2 1 1
direct
0.0000 0.0000 0.0000
0.0000 0.5000 0.5000
0.5000 0.0000 0.5000
0.5000 0.5000 0.5000
0.5000 0.5000 0.0000
```

Results
The formation enthalpy at 0 K is 1650.0 meV per atom. The calculation puts the density of states at the Fermi level at 7.2 states/eV/f.u.

[6]
# GdDyCd2

An optimized crystal structure of GdDyCd2 (PBE, the Alexandria database).

Structure (POSCAR):
```
GdDyCd2
1.0
0.0000 3.7562 3.7562
3.7562 0.0000 3.7562
3.7562 3.7562 0.0000
Gd Dy Cd
1 1 2
direct
0.0000 0.0000 0.0000
0.5000 0.5000 0.5000
0.2500 0.2500 0.2500
0.7500 0.7500 0.7500
```

Results
The formation enthalpy at 0 K is -336.8 meV per atom. The calculation puts the density of states at the Fermi level at 3.8 states/eV/f.u. Its energy above the lowest structure with this stoichiometry is 0.000 eV/f.u.

[7]
# NaEr2Al

An optimized crystal structure of NaEr2Al (PBE, the Alexandria database).

Structure (POSCAR):
```
NaEr2Al
1.0
3.5031 0.0000 0.0000
0.0000 3.5031 0.0000
0.0000 0.0000 9.1163
Na Er Al
1 2 1
direct
0.0000 0.0000 0.0000
0.5000 0.5000 0.3019
0.5000 0.5000 0.6981
0.0000 0.0000 0.5000
```

Results
The formation enthalpy at 0 K is -60.4 meV per atom. The calculation puts the density of states at the Fermi level at 2.2 states/eV/f.u. Its energy above the lowest structure with this stoichiometry is 0.000 eV/f.u.

[8]
# AcScCuGe

An optimized crystal structure of AcScCuGe (PBE, the Alexandria database).

Structure (POSCAR):
```
AcScCuGe
1.0
0.0000 3.6191 3.6191
3.6191 0.0000 3.6191
3.6191 3.6191 0.0000
Ac Sc Cu Ge
1 1 1 1
direct
0.0000 0.0000 0.0000
0.5000 0.5000 0.5000
0.2500 0.2500 0.2500
0.7500 0.7500 0.7500
```

Results
The formation enthalpy at 0 K is -307.5 meV per atom. The calculation puts the density of states at the Fermi level at 3.9 states/eV/f.u.

[9]
# Ce3Pm2HoBi6

An optimized crystal structure of Ce3Pm2HoBi6 (PBE, the Alexandria database).

Structure (POSCAR):
```
Ce3Pm2HoBi6
1.0
3.9598 -6.8589 0.0000
3.9598 6.8589 0.0000
-2.6428 0.0000 7.4625
Ce Pm Ho Bi
3 2 1 6
direct
0.0000 0.0000 0.0000
0.3313 0.6687 0.0000
0.6687 0.3313 0.0000
0.1658 0.8342 0.5000
0.8342 0.1658 0.5000
0.5000 0.5000 0.5000
0.0890 0.4181 0.2533
0.2545 0.2545 0.7492
0.4181 0.0890 0.2533
0.5819 0.9110 0.7467
0.7455 0.7455 0.2508
0.9110 0.5819 0.7467
```

Results
The formation enthalpy at 0 K is -850.0 meV per atom. The calculation puts the density of states at the Fermi level at 20.3 states/eV/f.u.

[10]
# AcCe2Zn

An optimized crystal structure of AcCe2Zn (PBE, the Alexandria database).

Structure (POSCAR):
```
AcCe2Zn
1.0
0.0000 3.8847 3.8847
3.8847 0.0000 3.8847
3.8847 3.8847 0.0000
Ac Ce Zn
1 2 1
direct
0.0000 0.0000 0.0000
0.2500 0.2500 0.2500
0.7500 0.7500 0.7500
0.5000 0.5000 0.5000
```

Results
The formation enthalpy at 0 K is 248.5 meV per atom. The calculation puts the density of states at the Fermi level at 15.3 states/eV/f.u. Its energy above the lowest structure with this stoichiometry is 1.010 eV/f.u.

[11]
# Tb6Pm3Y2

An optimized crystal structure of Tb6Pm3Y2 (PBE, the Alexandria database).

Structure (POSCAR):
```
Tb6Pm3Y2
1.0
-2.3818 2.3818 16.7701
2.3818 -2.3818 16.7701
2.3818 2.3818 -16.7701
Tb Pm Y
6 3 2
direct
0.1214 0.6214 0.5000
0.1957 0.1957 0.0000
0.3786 0.8786 0.5000
0.6214 0.1214 0.5000
0.8043 0.8043 0.0000
0.8786 0.3786 0.5000
0.2982 0.2982 0.0000
0.5000 0.5000 0.0000
0.7018 0.7018 0.0000
0.0462 0.0462 0.0000
0.9538 0.9538 0.0000
```

Results
The formation enthalpy at 0 K is 276.5 meV per atom. The calculation puts the density of states at the Fermi level at 17.2 states/eV/f.u. Its energy above the lowest structure with this stoichiometry is 2.888 eV/f.u.

[12]
# SrLiPb2

An optimized crystal structure of SrLiPb2 (PBE, the Alexandria database).

Structure (POSCAR):
```
SrLiPb2
1.0
-2.3473 2.4263 5.4545
2.3473 -2.4263 5.4545
2.3473 2.4263 -5.4545
Sr Li Pb
1 1 2
direct
0.0000 0.0000 0.0000
0.2401 0.7401 0.5000
0.5730 0.5730 0.0000
0.7667 0.2667 0.5000
```

Results
The formation enthalpy at 0 K is -326.3 meV per atom. The calculation puts the density of states at the Fermi level at 1.7 states/eV/f.u.

Number 1: electronic total energy -7.960 eV per atom. Number 2: electronic total energy -2.871 eV per atom. Number 3: electronic total energy -4.749 eV per atom. Number 4: electronic total energy -3.838 eV per atom. Number 5: electronic total energy -4.730 eV per atom. Number 6: electronic total energy -5.465 eV per atom. Number 7: electronic total energy -3.607 eV per atom. Number 8: electronic total energy -5.096 eV per atom. Number 9: electronic total energy -5.447 eV per atom. Number 10: electronic total energy -4.064 eV per atom. Number 11: electronic total energy -4.720 eV per atom. Number 12: electronic total energy -3.079 eV per atom.